No. 1
Below is crystalline Sr2AgH6Ir at its relaxed geometry, with properties calculated at the PBE level. Values from VASP.

Properties
E in eV per atom: -3.850
SG: P-3m1

```
&SYSTEM
  ibrav = 0, nat = 10, ntyp = 4
/
ATOMIC_SPECIES
H 1.01 H.upf
Sr 87.62 Sr.upf
Ag 107.87 Ag.upf
Ir 192.22 Ir.upf
CELL_PARAMETERS angstrom
5.443 0.000 0.000
0.000 5.340 0.000
0.000 -2.670 4.624
ATOMIC_POSITIONS crystal
H 0.177 0.842 0.684
H 0.823 0.684 0.842
H 0.823 0.158 0.842
H 0.823 0.158 0.316
H 0.177 0.316 0.158
H 0.177 0.842 0.158
Sr 0.776 0.667 0.333
Sr 0.224 0.333 0.667
Ag 0.500 0.000 0.000
Ir 0.000 0.000 0.000
```

=====

No. 2
Below is crystalline DyEr2Pb at its relaxed geometry, with properties calculated at the PBE level. Values from VASP.

Properties
E in eV per atom: -4.586
SG: Cmcm
Formation enthalpy at 0 K in eV per formula unit: -0.9

```
&SYSTEM
  ibrav = 0, nat = 8, ntyp = 3
/
ATOMIC_SPECIES
Er 167.26 Er.upf
Dy 162.50 Dy.upf
Pb 207.20 Pb.upf
CELL_PARAMETERS angstrom
4.235 0.001 0.000
-2.117 6.242 0.000
0.000 0.000 9.333
ATOMIC_POSITIONS crystal
Er 0.631 0.263 0.446
Er 0.369 0.737 0.946
Er 0.631 0.263 0.054
Er 0.369 0.737 0.554
Dy 0.944 0.889 0.250
Dy 0.056 0.111 0.750
Pb 0.247 0.495 0.250
Pb 0.753 0.505 0.750
```

=====

No. 3
Below is crystalline Pr3Nd6Ho2Mg at its relaxed geometry, with properties calculated at the PBE level. Values from VASP.

Properties
E in eV per atom: -4.445
SG: C2/m
Formation enthalpy at 0 K in eV per formula unit: 0.4

```
&SYSTEM
  ibrav = 0, nat = 12, ntyp = 4
/
ATOMIC_SPECIES
Ho 164.93 Ho.upf
Pr 140.91 Pr.upf
Nd 144.24 Nd.upf
Mg 24.30 Mg.upf
CELL_PARAMETERS angstrom
6.322 -0.006 0.011
-3.165 5.473 0.011
-1.085 -1.879 11.750
ATOMIC_POSITIONS crystal
Ho 0.667 0.333 0.000
Ho 0.333 0.667 0.000
Pr 0.167 0.833 0.500
Pr 0.833 0.167 0.500
Pr 0.500 0.500 0.500
Nd 0.748 0.748 0.244
Nd 0.411 0.079 0.243
Nd 0.921 0.589 0.757
Nd 0.079 0.411 0.243
Nd 0.252 0.252 0.756
Nd 0.589 0.921 0.757
Mg 0.000 0.000 0.000
```

=====

No. 4
Below is crystalline MgAlTc2Cl at its relaxed geometry, with properties calculated at the PBE level. Values from VASP.

Properties
E in eV per atom: -3.863
Uncorrected formation energy in eV/atom: 1.720
SG: P4/mmm

```
&SYSTEM
  ibrav = 0, nat = 5, ntyp = 4
/
ATOMIC_SPECIES
Tc 98.00 Tc.upf
Mg 24.30 Mg.upf
Al 26.98 Al.upf
Cl 35.45 Cl.upf
CELL_PARAMETERS angstrom
4.908 0.000 0.000
0.000 4.935 0.000
0.000 0.000 4.908
ATOMIC_POSITIONS crystal
Tc 0.500 0.000 0.000
Tc 0.000 0.000 0.500
Mg 0.000 0.000 0.000
Al 0.000 0.500 0.000
Cl 0.500 0.500 0.500
```

=====

No. 5
Below is crystalline LiV2FeI at its relaxed geometry, with properties calculated at the PBE level. Values from VASP.

Properties
E in eV per atom: -4.428
Uncorrected formation energy in eV/atom: 1.604
SG: P4/mmm

```
&SYSTEM
  ibrav = 0, nat = 5, ntyp = 4
/
ATOMIC_SPECIES
V 50.94 V.upf
Li 6.94 Li.upf
I 126.90 I.upf
Fe 55.84 Fe.upf
CELL_PARAMETERS angstrom
4.815 0.000 0.000
0.000 4.563 0.000
0.000 0.000 4.815
ATOMIC_POSITIONS crystal
V 0.500 0.000 0.000
V 0.000 0.000 0.500
Li 0.500 0.500 0.500
I 0.000 0.000 0.000
Fe 0.000 0.500 0.000
```

=====

No. 6
Below is crystalline LiPt3I at its relaxed geometry, with properties calculated at the PBE level. Values from VASP.

Properties
E in eV per atom: -3.632
Uncorrected formation energy in eV/atom: 0.685
SG: Pm-3m

```
&SYSTEM
  ibrav = 0, nat = 5, ntyp = 3
/
ATOMIC_SPECIES
Pt 195.08 Pt.upf
I 126.90 I.upf
Li 6.94 Li.upf
CELL_PARAMETERS angstrom
-0.910 4.270 0.801
-4.334 -0.948 0.126
0.292 -0.756 4.364
ATOMIC_POSITIONS crystal
Pt 0.000 0.500 0.000
Pt 0.000 0.000 0.500
Pt 0.500 0.000 0.000
I 0.500 0.500 0.500
Li 0.000 0.000 0.000
```

=====

No. 7
Below is crystalline Li2Zr4Ta at its relaxed geometry, with properties calculated at the PBE level. Values from VASP.

Properties
E in eV per atom: -6.198
SG: I4/mmm
Formation enthalpy at 0 K in eV per formula unit: 6.5

```
&SYSTEM
  ibrav = 0, nat = 7, ntyp = 3
/
ATOMIC_SPECIES
Ta 180.95 Ta.upf
Li 6.94 Li.upf
Zr 91.22 Zr.upf
CELL_PARAMETERS angstrom
5.102 0.000 0.000
0.000 5.102 0.000
2.551 2.551 6.848
ATOMIC_POSITIONS crystal
Ta 0.000 0.000 0.000
Li 0.609 0.609 0.781
Li 0.391 0.391 0.219
Zr 0.500 0.000 0.000
Zr 0.192 0.192 0.617
Zr 0.808 0.808 0.383
Zr 0.000 0.500 0.000
```

=====

No. 8
Below is crystalline AcPm3Hg at its relaxed geometry, with properties calculated at the PBE level. Values from VASP.

Properties
E in eV per atom: -3.842
SG: Pnma
Formation enthalpy at 0 K in eV per formula unit: -0.6

```
&SYSTEM
  ibrav = 0, nat = 20, ntyp = 3
/
ATOMIC_SPECIES
Ac 227.00 Ac.upf
Pm 145.00 Pm.upf
Hg 200.59 Hg.upf
CELL_PARAMETERS angstrom
-0.890 -4.936 -1.119
8.239 0.052 -6.781
7.811 -3.552 9.464
ATOMIC_POSITIONS crystal
Ac 0.750 0.812 0.994
Ac 0.750 0.312 0.506
Ac 0.250 0.688 0.494
Ac 0.250 0.188 0.006
Pm 0.750 0.133 0.215
Pm 0.750 0.622 0.694
Pm 0.250 0.367 0.715
Pm 0.750 0.923 0.592
Pm 0.250 0.378 0.306
Pm 0.250 0.577 0.092
Pm 0.750 0.423 0.908
Pm 0.250 0.077 0.408
Pm 0.750 0.633 0.285
Pm 0.250 0.878 0.194
Pm 0.750 0.122 0.806
Pm 0.250 0.867 0.785
Hg 0.750 0.400 0.145
Hg 0.250 0.600 0.855
Hg 0.750 0.900 0.355
Hg 0.250 0.100 0.645
```

=====

No. 9
Below is crystalline CaTaTi2Pd at its relaxed geometry, with properties calculated at the PBE level. Values from VASP.

Properties
E in eV per atom: -5.935
SG: P4/mmm
Formation enthalpy at 0 K in eV per formula unit: 5.2

```
&SYSTEM
  ibrav = 0, nat = 5, ntyp = 4
/
ATOMIC_SPECIES
Ca 40.08 Ca.upf
Ti 47.87 Ti.upf
Pd 106.42 Pd.upf
Ta 180.95 Ta.upf
CELL_PARAMETERS angstrom
4.731 0.000 0.000
0.000 5.667 0.000
0.000 0.000 4.731
ATOMIC_POSITIONS crystal
Ca 0.000 0.500 0.000
Ti 0.000 0.000 0.500
Ti 0.500 0.000 0.000
Pd 0.500 0.500 0.500
Ta 0.000 0.000 0.000
```

=====

No. 10
Below is crystalline Cr2InRe at its relaxed geometry, with properties calculated at the PBE level. Values from VASP.

Properties
E in eV per atom: -8.133
SG: R-3m
Formation enthalpy at 0 K in eV per formula unit: 1.9

```
&SYSTEM
  ibrav = 0, nat = 4, ntyp = 3
/
ATOMIC_SPECIES
Cr 52.00 Cr.upf
Re 186.21 Re.upf
In 114.82 In.upf
CELL_PARAMETERS angstrom
-3.476 7.887 -1.751
-3.151 6.901 -4.450
-5.508 6.200 -2.929
ATOMIC_POSITIONS crystal
Cr 0.508 0.508 0.508
Cr 0.992 0.992 0.992
Re 0.250 0.250 0.250
In 0.750 0.750 0.750
```

=====

No. 11
Below is crystalline K3MgAg2Br9 at its relaxed geometry, with properties calculated at the PBE level. Values from VASP.

Properties
E in eV per atom: -2.751
Uncorrected formation energy in eV/atom: -1.042
SG: P-3m1

```
&SYSTEM
  ibrav = 0, nat = 15, ntyp = 4
/
ATOMIC_SPECIES
Br 79.90 Br.upf
Ag 107.87 Ag.upf
Mg 24.30 Mg.upf
K 39.10 K.upf
CELL_PARAMETERS angstrom
-4.552 3.364 5.113
-2.481 -6.062 -3.909
3.330 -5.687 6.707
ATOMIC_POSITIONS crystal
Br 0.835 0.670 0.664
Br 0.165 0.835 0.336
Br 0.000 0.500 0.000
Br 0.330 0.165 0.664
Br 0.500 0.500 0.000
Br 0.165 0.330 0.336
Br 0.500 0.000 0.000
Br 0.670 0.835 0.336
Br 0.835 0.165 0.664
Ag 0.333 0.667 0.165
Ag 0.667 0.333 0.835
Mg 0.000 0.000 0.500
K 0.667 0.333 0.351
K 0.000 0.000 0.000
K 0.333 0.667 0.649
```

=====

No. 12
Below is crystalline Zr2ScOs at its relaxed geometry, with properties calculated at the PBE level. Values from VASP.

Properties
E in eV per atom: -8.609
SG: R-3m
Formation enthalpy at 0 K in eV per formula unit: 0.2

```
&SYSTEM
  ibrav = 0, nat = 4, ntyp = 3
/
ATOMIC_SPECIES
Zr 91.22 Zr.upf
Os 190.23 Os.upf
Sc 44.96 Sc.upf
CELL_PARAMETERS angstrom
9.553 -0.017 -0.010
9.010 3.174 -0.010
9.010 1.532 2.780
ATOMIC_POSITIONS crystal
Zr 0.988 0.988 0.988
Zr 0.512 0.512 0.512
Os 0.250 0.250 0.250
Sc 0.750 0.750 0.750
```

=====

No. 13
Below is crystalline Dy6Te5Ir at its relaxed geometry, with properties calculated at the PBE level. Values from VASP.

Properties
E in eV per atom: -5.639
Uncorrected formation energy in eV/atom: -1.291
SG: C2/m

```
&SYSTEM
  ibrav = 0, nat = 12, ntyp = 3
/
ATOMIC_SPECIES
Dy 162.50 Dy.upf
Te 127.60 Te.upf
Ir 192.22 Ir.upf
CELL_PARAMETERS angstrom
-0.618 -5.715 -4.890
-0.992 -0.692 8.642
-5.606 4.442 -2.513
ATOMIC_POSITIONS crystal
Dy 0.446 0.215 0.000
Dy 0.150 0.928 0.294
Dy 0.850 0.072 0.706
Dy 0.554 0.785 0.000
Dy 0.855 0.634 0.706
Dy 0.145 0.366 0.294
Te 0.336 0.336 0.672
Te 0.680 0.180 0.361
Te 0.320 0.820 0.639
Te 0.000 0.500 0.000
Te 0.664 0.664 0.328
Ir 0.000 0.000 0.000
```

=====

No. 14
Below is crystalline KCaCdSb at its relaxed geometry, with properties calculated at the PBE level. Values from VASP.

Properties
E in eV per atom: -2.489
Uncorrected formation energy in eV/atom: -0.455
SG: F-43m

```
&SYSTEM
  ibrav = 0, nat = 4, ntyp = 4
/
ATOMIC_SPECIES
K 39.10 K.upf
Ca 40.08 Ca.upf
Cd 112.41 Cd.upf
Sb 121.76 Sb.upf
CELL_PARAMETERS angstrom
5.630 0.000 0.000
2.815 4.875 0.000
2.815 1.625 4.597
ATOMIC_POSITIONS crystal
K 0.000 0.000 0.000
Ca 0.500 0.500 0.500
Cd 0.750 0.750 0.750
Sb 0.250 0.250 0.250
```

=====

No. 15
Below is crystalline Y8GeTe3S3 at its relaxed geometry, with properties calculated at the PBE level. Values from VASP.

Properties
E in eV per atom: -6.678
Uncorrected formation energy in eV/atom: -1.469
SG: R-3m

```
&SYSTEM
  ibrav = 0, nat = 15, ntyp = 4
/
ATOMIC_SPECIES
Y 88.91 Y.upf
S 32.06 S.upf
Ge 72.64 Ge.upf
Te 127.60 Te.upf
CELL_PARAMETERS angstrom
8.133 0.000 0.000
-4.067 7.043 -0.026
0.000 -4.671 6.982
ATOMIC_POSITIONS crystal
Y 0.243 0.974 0.717
Y 0.731 0.974 0.717
Y 0.757 0.026 0.283
Y 0.757 0.513 0.283
Y 0.243 0.487 0.717
Y 0.269 0.026 0.283
Y 0.266 0.532 0.297
Y 0.734 0.468 0.703
S 0.000 0.500 0.500
S 0.500 0.000 0.500
S 0.500 0.500 0.500
Ge 0.000 0.000 0.500
Te 0.000 0.500 0.000
Te 0.500 0.500 0.000
Te 0.000 0.000 0.000
```

=====

No. 16
Below is crystalline VRhS4 at its relaxed geometry, with properties calculated at the PBE level. Values from VASP.

Properties
E in eV per atom: -6.021
Uncorrected formation energy in eV/atom: -0.524
SG: P2_1/c

```
&SYSTEM
  ibrav = 0, nat = 12, ntyp = 3
/
ATOMIC_SPECIES
S 32.06 S.upf
Rh 102.91 Rh.upf
V 50.94 V.upf
CELL_PARAMETERS angstrom
-1.047 -2.410 5.101
0.896 -5.172 -2.259
5.585 0.353 1.407
ATOMIC_POSITIONS crystal
S 0.383 0.885 0.122
S 0.375 0.375 0.381
S 0.883 0.615 0.122
S 0.117 0.385 0.878
S 0.125 0.875 0.619
S 0.875 0.125 0.381
S 0.617 0.115 0.878
S 0.625 0.625 0.619
Rh 0.000 0.000 0.000
Rh 0.500 0.500 0.000
V 0.000 0.500 0.500
V 0.500 0.000 0.500
```

=====

No. 17
Below is crystalline Ce2PuSi at its relaxed geometry, with properties calculated at the PBE level. Values from VASP.

Properties
E in eV per atom: -8.247
Uncorrected formation energy in eV/atom: -0.341
SG: P4/mmm

```
&SYSTEM
  ibrav = 0, nat = 4, ntyp = 3
/
ATOMIC_SPECIES
Pu 244.00 Pu.upf
Si 28.09 Si.upf
Ce 140.12 Ce.upf
CELL_PARAMETERS angstrom
4.438 0.000 0.000
0.000 4.576 0.000
0.000 0.000 4.576
ATOMIC_POSITIONS crystal
Pu 0.500 0.500 0.500
Si 0.500 0.000 0.000
Ce 0.000 0.000 0.500
Ce 0.000 0.500 0.000
```

=====

No. 18
Below is crystalline LiGeTe2 at its relaxed geometry, with properties calculated at the PBE level. Values from VASP.

Properties
E in eV per atom: -3.369
Uncorrected formation energy in eV/atom: -0.165
SG: R-3m

```
&SYSTEM
  ibrav = 0, nat = 4, ntyp = 3
/
ATOMIC_SPECIES
Li 6.94 Li.upf
Te 127.60 Te.upf
Ge 72.64 Ge.upf
CELL_PARAMETERS angstrom
-2.361 -8.319 -1.637
0.023 -8.625 1.755
-3.979 -7.560 2.116
ATOMIC_POSITIONS crystal
Li 0.000 0.000 0.000
Te 0.103 0.103 0.103
Te 0.897 0.897 0.897
Ge 0.500 0.500 0.500
```

=====

No. 19
Below is crystalline Ni14GePt at its relaxed geometry, with properties calculated at the PBE level. Values from VASP.

Properties
E in eV per atom: -5.769
SG: Amm2
Formation enthalpy at 0 K in eV per formula unit: -0.7

```
&SYSTEM
  ibrav = 0, nat = 16, ntyp = 3
/
ATOMIC_SPECIES
Ni 58.69 Ni.upf
Ge 72.64 Ge.upf
Pt 195.08 Pt.upf
CELL_PARAMETERS angstrom
5.047 -0.305 0.000
-2.258 4.524 0.000
0.000 0.000 8.262
ATOMIC_POSITIONS crystal
Ni 0.038 0.459 0.500
Ni 0.210 0.293 0.000
Ni 0.210 0.790 0.000
Ni 0.875 0.621 0.242
Ni 0.375 0.625 0.753
Ni 0.707 0.790 0.000
Ni 0.541 0.962 0.500
Ni 0.874 0.126 0.242
Ni 0.379 0.125 0.758
Ni 0.708 0.292 0.000
Ni 0.375 0.625 0.247
Ni 0.379 0.125 0.242
Ni 0.875 0.621 0.758
Ni 0.874 0.126 0.758
Ge 0.539 0.461 0.500
Pt 0.040 0.960 0.500
```

=====

No. 20
Below is crystalline La4TcSBr2 at its relaxed geometry, with properties calculated at the PBE level. Values from VASP.

Properties
E in eV per atom: -5.902
Uncorrected formation energy in eV/atom: -1.208
SG: P2/m

```
&SYSTEM
  ibrav = 0, nat = 8, ntyp = 4
/
ATOMIC_SPECIES
Br 79.90 Br.upf
La 138.91 La.upf
S 32.06 S.upf
Tc 98.00 Tc.upf
CELL_PARAMETERS angstrom
4.156 0.000 0.000
0.000 7.441 0.314
0.000 -2.440 7.581
ATOMIC_POSITIONS crystal
Br 0.500 0.000 0.500
Br 0.000 0.500 0.500
La 0.000 0.726 0.205
La 0.000 0.274 0.795
La 0.500 0.750 0.804
La 0.500 0.250 0.196
S 0.000 0.000 0.000
Tc 0.500 0.500 0.000
```

=====

No. 21
Below is crystalline BaLaSe2 at its relaxed geometry, with properties calculated at the PBE level. Values from VASP.

Properties
E in eV per atom: -5.066
Uncorrected formation energy in eV/atom: -1.611
SG: I-42d

```
&SYSTEM
  ibrav = 0, nat = 8, ntyp = 3
/
ATOMIC_SPECIES
Ba 137.33 Ba.upf
Se 78.96 Se.upf
La 138.91 La.upf
CELL_PARAMETERS angstrom
7.116 0.000 0.000
0.000 7.116 0.000
3.558 3.558 6.957
ATOMIC_POSITIONS crystal
Ba 0.250 0.750 0.500
Ba 0.500 0.500 0.000
Se 0.092 0.625 0.250
Se 0.375 0.342 0.750
Se 0.658 0.125 0.250
Se 0.875 0.908 0.750
La 0.750 0.250 0.500
La 0.000 0.000 0.000
```

=====

No. 22
Below is crystalline Rb2RuBr4Cl2 at its relaxed geometry, with properties calculated at the PBE level. Values from VASP.

Properties
E in eV per atom: -3.413
Uncorrected formation energy in eV/atom: -1.013
SG: C2/m

```
&SYSTEM
  ibrav = 0, nat = 9, ntyp = 4
/
ATOMIC_SPECIES
Br 79.90 Br.upf
Cl 35.45 Cl.upf
Rb 85.47 Rb.upf
Ru 101.07 Ru.upf
CELL_PARAMETERS angstrom
6.423 -1.017 -0.692
0.198 7.327 0.578
0.198 3.228 6.602
ATOMIC_POSITIONS crystal
Br 0.734 0.337 0.850
Br 0.266 0.663 0.150
Br 0.734 0.850 0.337
Br 0.266 0.150 0.663
Cl 0.692 0.860 0.860
Cl 0.308 0.140 0.140
Rb 0.286 0.655 0.655
Rb 0.714 0.345 0.345
Ru 0.500 0.000 0.000
```

=====

No. 23
Below is crystalline TbSmEuIn at its relaxed geometry, with properties calculated at the PBE level. Values from VASP.

Properties
E in eV per atom: -5.730
SG: F-43m
Formation enthalpy at 0 K in eV per formula unit: -0.6

```
&SYSTEM
  ibrav = 0, nat = 4, ntyp = 4
/
ATOMIC_SPECIES
Sm 150.36 Sm.upf
In 114.82 In.upf
Tb 158.93 Tb.upf
Eu 151.96 Eu.upf
CELL_PARAMETERS angstrom
5.553 0.000 0.000
2.777 4.809 0.000
2.777 1.603 4.534
ATOMIC_POSITIONS crystal
Sm 0.250 0.250 0.250
In 0.500 0.500 0.500
Tb 0.750 0.750 0.750
Eu 0.000 0.000 0.000
```

=====

No. 24
Below is crystalline Ti2MnBe9 at its relaxed geometry, with properties calculated at the PBE level. Values from VASP.

Properties
E in eV per atom: -4.997
SG: R-3m
Formation enthalpy at 0 K in eV per formula unit: -1.5

```
&SYSTEM
  ibrav = 0, nat = 12, ntyp = 3
/
ATOMIC_SPECIES
Ti 47.87 Ti.upf
Be 9.01 Be.upf
Mn 54.94 Mn.upf
CELL_PARAMETERS angstrom
4.364 0.000 0.000
2.182 3.779 0.000
2.182 1.260 6.966
ATOMIC_POSITIONS crystal
Ti 0.142 0.142 0.575
Ti 0.858 0.858 0.425
Be 0.666 0.666 0.001
Be 0.078 0.581 0.761
Be 0.419 0.419 0.239
Be 0.922 0.419 0.239
Be 0.419 0.922 0.239
Be 0.334 0.334 0.999
Be 0.581 0.078 0.761
Be 0.581 0.581 0.761
Be 0.500 0.500 0.500
Mn 0.000 0.000 0.000
```